VASP calculation (GGA+U) on K2Li2CoO4 after structural relaxation.

Cell: 9.3361 5.4892 11.1276 Å, 68.23 90.00 90.00°
Last column: nearest neighbours and their distance in Å.
Sites, in units of the cell vectors:
Li 0.7458 0.4070 0.1846  4 O 1.97-2.03
Li 0.0156 0.3524 0.4306  4 O 1.97-2.11
Li 0.2458 0.5930 0.3154  4 O 1.97-2.03
Li 0.9844 0.6476 0.5694  4 O 1.97-2.11
Li 0.4844 0.3524 0.9306  4 O 1.97-2.11
Li 0.7542 0.4070 0.6846  4 O 1.97-2.03
Li 0.2542 0.5930 0.8154  4 O 1.97-2.03
Li 0.5156 0.6476 0.0694  4 O 1.97-2.11
Co 0.7115 0.1378 0.0440  4 O 1.79-1.83
Co 0.7885 0.1378 0.5440  4 O 1.79-1.83
Co 0.2115 0.8622 0.4560  4 O 1.79-1.83
Co 0.2885 0.8622 0.9560  4 O 1.79-1.83
O 0.3764 0.7697 0.4032  1 Co 1.79
O 0.8103 0.2991 0.3692  1 Co 1.83, 1 Li 2.01
O 0.9272 0.2763 0.6158  1 Co 1.83, 2 Li 1.98-2.03
O 0.1897 0.7009 0.6308  1 Co 1.83, 1 Li 2.01
O 0.2969 0.2170 0.9017  1 Co 1.81, 2 Li 1.97
O 0.6236 0.2303 0.5968  1 Co 1.79
O 0.7969 0.7830 0.5983  1 Co 1.81, 2 Li 1.97
O 0.7031 0.7830 0.0983  1 Co 1.81, 2 Li 1.97
O 0.1236 0.7697 0.9032  1 Co 1.79
O 0.0728 0.7237 0.3842  1 Co 1.83, 2 Li 1.98-2.03
O 0.8764 0.2303 0.0968  1 Co 1.79
O 0.4272 0.7237 0.8842  1 Co 1.83, 2 Li 1.98-2.03
O 0.6897 0.2991 0.8692  1 Co 1.83, 1 Li 2.01
O 0.2031 0.2170 0.4017  1 Co 1.81, 2 Li 1.97
O 0.5728 0.2763 0.1158  1 Co 1.83, 2 Li 1.98-2.03
O 0.3103 0.7009 0.1308  1 Co 1.83, 1 Li 2.01
K 0.9994 0.6740 0.1311  4 O 2.66-2.91, 1 Li 2.73
K 0.5006 0.6740 0.6311  4 O 2.66-2.91, 1 Li 2.73
K 0.4994 0.3260 0.3689  4 O 2.66-2.91, 1 Li 2.73
K 0.2838 0.1747 0.1587  6 O 2.74-2.93, 2 Li 3.01-3.04
K 0.7838 0.8253 0.3413  6 O 2.74-2.93, 2 Li 3.01-3.04
K 0.0006 0.3260 0.8689  4 O 2.66-2.91, 1 Li 2.73
K 0.7162 0.8253 0.8413  6 O 2.74-2.93, 2 Li 3.01-3.04
K 0.2162 0.1747 0.6587  6 O 2.74-2.93, 2 Li 3.01-3.04

Calculated values
SG: P2_1/c (14)
M_tot: 5.00 μB/f.u.
Total DFT energy (no corrections): -175.1 eV/cell
Volume: 529.60 Å³/cell